Entry 1:
GeRhBr2 | PBE | optimized geometry

Output
Excess energy over the best structure of this formula in the dataset ... 0 kJ/mol of formula units
Crystal system ... tetragonal

Lattice parameters (Å, degrees): 9.7359 9.7359 7.2815 48.05 48.05 90.00
Positions (direct):
Ge 0.5000 0.5000 0.0000
Ge 0.2500 0.7500 0.5000
Rh 0.0000 0.0000 0.0000
Rh 0.7500 0.2500 0.5000
Br 0.7902 0.1250 0.2500
Br 0.9598 0.6250 0.2500
Br 0.3750 0.2098 0.7500
Br 0.8750 0.0402 0.7500

---

Entry 2:
ScGeRhBr2 | PBE | optimized geometry

Output
Energy ... -3.66 eV per atom
Crystal system ... tetragonal

Lattice parameters (Å, degrees): 5.0753 5.4154 5.0753 90.00 90.00 90.00
Positions (direct):
Sc 0.0000 0.5000 0.0000
Ge 0.0000 0.0000 0.0000
Rh 0.5000 0.5000 0.5000
Br 0.0000 0.0000 0.5000
Br 0.5000 0.0000 0.0000

---

Entry 3:
GeRhSe2Br | PBE | optimized geometry

Output
Excess energy over the best structure of this formula in the dataset ... 0 kJ/mol of formula units
Crystal system ... tetragonal

Lattice parameters (Å, degrees): 4.9181 4.9181 4.9843 90.00 90.00 90.00
Positions (direct):
Ge 0.5000 0.5000 0.5000
Rh 0.0000 0.0000 0.0000
Se 0.0000 0.5000 0.0000
Se 0.5000 0.0000 0.0000
Br 0.0000 0.0000 0.5000

---

Entry 4:
GeRhSeBr2 | PBE | optimized geometry

Output
Excess energy over the best structure of this formula in the dataset ... 0 kJ/mol of formula units
Crystal system ... tetragonal

Lattice parameters (Å, degrees): 4.9864 4.9864 4.9937 90.00 90.00 90.00
Positions (direct):
Ge 0.5000 0.5000 0.5000
Rh 0.0000 0.0000 0.0000
Se 0.0000 0.0000 0.5000
Br 0.0000 0.5000 0.0000
Br 0.5000 0.0000 0.0000

---

Entry 5:
GeRhSe2Br | PBE | optimized geometry

Output
Excess energy over the best structure of this formula in the dataset ... 240 kJ/mol of formula units
Crystal system ... tetragonal

Lattice parameters (Å, degrees): 4.9868 4.9868 5.1449 90.00 90.00 90.00
Each line ends with the local moment (μB).
Positions (direct):
Ge 0.0000 0.0000 0.0000  0.01
Rh 0.5000 0.5000 0.5000  1.72
Se 0.0000 0.5000 0.0000  0.19
Se 0.5000 0.0000 0.0000  0.19
Br 0.0000 0.0000 0.5000  0.12

---

Entry 6:
GeRhSeBr2 | PBE | optimized geometry

Output
Excess energy over the best structure of this formula in the dataset ... 209 kJ/mol of formula units
Crystal system ... tetragonal

Lattice parameters (Å, degrees): 5.1777 5.1777 5.1698 90.00 90.00 90.00
Each line ends with the local moment (μB).
Positions (direct):
Ge 0.0000 0.0000 0.0000  -0.01
Rh 0.5000 0.5000 0.5000  1.74
Se 0.0000 0.0000 0.5000  0.17
Br 0.0000 0.5000 0.0000  0.04
Br 0.5000 0.0000 0.0000  0.04

---

Entry 7:
Sm6GeRh2Br3 | PBE | optimized geometry

Output
Energy ... -5.43 eV per atom
Crystal system ... monoclinic

Lattice parameters (Å, degrees): 7.2154 7.2154 7.9453 98.71 98.71 120.01
Positions (direct):
Sm 0.9341 0.5870 0.7998
Sm 0.7190 0.7190 0.1996
Sm 0.0659 0.4130 0.2002
Sm 0.5870 0.9341 0.7998
Sm 0.2810 0.2810 0.8004
Sm 0.4130 0.0659 0.2002
Ge 0.0000 0.0000 0.0000
Rh 0.3329 0.6671 0.0000
Rh 0.6671 0.3329 0.0000
Br 0.1616 0.8384 0.5000
Br 0.8384 0.1616 0.5000
Br 0.5000 0.5000 0.5000

---

Entry 8:
Sr2GeRhBr | PBE | optimized geometry

Output
Energy ... -4.26 eV per atom
Crystal system ... tetragonal

Lattice parameters (Å, degrees): 5.8930 5.8930 4.6306 90.00 90.00 90.00
Positions (direct):
Sr 0.0000 0.5000 0.0000
Sr 0.5000 0.0000 0.0000
Ge 0.0000 0.0000 0.5000
Rh 0.0000 0.0000 0.0000
Br 0.5000 0.5000 0.5000

---

Entry 9:
TcGe2RhBr | PBE | optimized geometry

Output
Energy ... -5.15 eV per atom
Crystal system ... tetragonal

Lattice parameters (Å, degrees): 4.8703 4.7793 4.8703 90.00 90.00 90.00
Positions (direct):
Ge 0.0000 0.0000 0.5000
Ge 0.5000 0.0000 0.0000
Rh 0.0000 0.5000 0.0000
Tc 0.0000 0.0000 0.0000
Br 0.5000 0.5000 0.5000

---

Entry 10:
Ge2RuBr2 | PBE | optimized geometry

Output
Excess energy over the best structure of this formula in the dataset ... 0 kJ/mol of formula units
Crystal system ... tetragonal

Lattice parameters (Å, degrees): 7.0006 7.0006 5.2714 90.00 90.00 90.00
Each line ends with the local moment (μB).
Positions (direct):
Ru 0.0000 0.0000 0.0000  0.55
Ru 0.5000 0.5000 0.0000  0.55
Ge 0.2538 0.7538 0.0000  -0.03
Ge 0.7538 0.7462 0.0000  -0.03
Ge 0.7462 0.2462 0.0000  -0.03
Ge 0.2462 0.2538 0.0000  -0.03
Br 0.1835 0.6835 0.5000  0.00
Br 0.6835 0.8165 0.5000  -0.01
Br 0.8165 0.3165 0.5000  0.00
Br 0.3165 0.1835 0.5000  -0.01

---

Entry 11:
GeRu2Br | PBE | optimized geometry

Output
Excess energy over the best structure of this formula in the dataset ... 0 kJ/mol of formula units
Crystal system ... cubic

Lattice parameters (Å, degrees): 4.4364 4.4364 4.4364 60.00 60.00 60.00
Positions (direct):
Ru 0.2500 0.2500 0.2500
Ru 0.7500 0.7500 0.7500
Ge 0.0000 0.0000 0.0000
Br 0.5000 0.5000 0.5000

---

Entry 12:
GeRu2Br | PBE | optimized geometry

Output
Excess energy over the best structure of this formula in the dataset ... 44 kJ/mol of formula units
Crystal system ... tetragonal

Lattice parameters (Å, degrees): 5.4290 5.4290 6.9724 67.09 67.09 90.00
Positions (direct):
Ru 0.6155 0.1250 0.2500
Ru 0.1345 0.6250 0.2500
Ru 0.3750 0.3845 0.7500
Ru 0.8750 0.8655 0.7500
Ge 0.5000 0.5000 0.0000
Ge 0.2500 0.7500 0.5000
Br 0.0000 0.0000 0.0000
Br 0.7500 0.2500 0.5000

---

Entry 13:
GeRuBr3 | PBE | optimized geometry

Output
Excess energy over the best structure of this formula in the dataset ... 119 kJ/mol of formula units
Crystal system ... cubic

Lattice parameters (Å, degrees): 5.3942 5.3942 5.3942 90.00 90.00 90.00
Each line ends with the local moment (μB).
Positions (direct):
Ru 0.5000 0.5000 0.5000  2.65
Ge 0.0000 0.0000 0.0000  0.00
Br 0.0000 0.5000 0.0000  0.02
Br 0.0000 0.0000 0.5000  0.01
Br 0.5000 0.0000 0.0000  0.01

---

Entry 14:
GeRuBr3 | PBE | optimized geometry

Output
Excess energy over the best structure of this formula in the dataset ... 0 kJ/mol of formula units
Crystal system ... cubic

Lattice parameters (Å, degrees): 5.0453 5.0453 5.0453 90.00 90.00 90.00
Positions (direct):
Ru 0.0000 0.0000 0.0000
Ge 0.5000 0.5000 0.5000
Br 0.0000 0.5000 0.0000
Br 0.0000 0.0000 0.5000
Br 0.5000 0.0000 0.0000

---

Entry 15:
Ge2RuBr2 | PBE | optimized geometry

Output
Excess energy over the best structure of this formula in the dataset ... 373 kJ/mol of formula units
Crystal system ... tetragonal

Lattice parameters (Å, degrees): 4.4829 4.4829 6.9650 71.23 71.23 90.00
Each line ends with the local moment (μB).
Positions (direct):
Ru 0.0000 0.0000 0.0000  2.19
Ge 0.3948 0.3948 0.2104  -0.09
Ge 0.6052 0.6052 0.7896  -0.09
Br 0.7500 0.2500 0.5000  -0.01
Br 0.2500 0.7500 0.5000  -0.01

---

Entry 16:
GeRu3Br | PBE | optimized geometry

Output
Excess energy over the best structure of this formula in the dataset ... 0 kJ/mol of formula units
Crystal system ... cubic

Lattice parameters (Å, degrees): 4.6936 4.6936 4.6936 90.00 90.00 90.00
Each line ends with the local moment (μB).
Positions (direct):
Ru 0.0000 0.5000 0.0000  1.76
Ru 0.0000 0.0000 0.5000  1.49
Ru 0.5000 0.0000 0.0000  1.66
Ge 0.0000 0.0000 0.0000  -0.11
Br 0.5000 0.5000 0.5000  0.16

---

Entry 17:
SiGeRu2Br | PBE | optimized geometry

Output
Energy ... -4.64 eV per atom
Crystal system ... tetragonal

Lattice parameters (Å, degrees): 4.6305 5.1336 4.6305 90.00 90.00 90.00
Each line ends with the local moment (μB).
Positions (direct):
Ru 0.0000 0.0000 0.5000  1.29
Ru 0.5000 0.0000 0.0000  1.10
Ge 0.0000 0.0000 0.0000  -0.04
Si 0.5000 0.5000 0.5000  -0.08
Br 0.0000 0.5000 0.0000  0.07

---

Entry 18:
Sn2GeRuBr | PBE | optimized geometry

Output
Energy ... -4.05 eV per atom
Crystal system ... tetragonal

Lattice parameters (Å, degrees): 5.5626 4.7287 5.5626 90.00 90.00 90.00
Each line ends with the local moment (μB).
Positions (direct):
Ru 0.0000 0.5000 0.0000  1.58
Ge 0.0000 0.0000 0.0000  -0.02
Sn 0.0000 0.0000 0.5000  0.01
Sn 0.5000 0.0000 0.0000  0.00
Br 0.5000 0.5000 0.5000  0.05

---

Entry 19:
Ge2SBr2 | PBE | optimized geometry

Output
Excess energy over the best structure of this formula in the dataset ... 0 kJ/mol of formula units
Crystal system ... monoclinic

Lattice parameters (Å, degrees): 5.7287 7.1447 9.1829 116.03 90.00 113.63
Positions (direct):
Ge 0.1895 0.3789 0.6115
Ge 0.8105 0.6211 0.3885
Ge 0.4608 0.9217 0.1702
Ge 0.5392 0.0783 0.8298
S 0.3701 0.7402 0.8624
S 0.6299 0.2598 0.1376
Br 0.6702 0.3404 0.5583
Br 0.3298 0.6596 0.4417
Br 0.0650 0.1301 0.7859
Br 0.9350 0.8699 0.2141

---

Entry 20:
GeSBr2 | PBE | optimized geometry

Output
Excess energy over the best structure of this formula in the dataset ... 0 kJ/mol of formula units
Crystal system ... monoclinic

Lattice parameters (Å, degrees): 3.4480 7.0576 6.7763 119.17 90.00 104.14
Positions (direct):
Ge 0.1305 0.2611 0.8308
S 0.5995 0.1990 0.5844
Br 0.9956 0.9912 0.9417
Br 0.7744 0.5488 0.1431

---

Entry 21:
Ge4S7Br | PBE | optimized geometry

Output
Energy ... -4.28 eV per atom
Crystal system ... orthorhombic

Lattice parameters (Å, degrees): 5.9096 6.6024 17.2150 90.00 90.00 90.00
Positions (direct):
Ge 0.6994 0.4976 0.9070
Ge 0.0685 0.8347 0.2391
Ge 0.5685 0.1653 0.2609
Ge 0.1994 0.5024 0.5930
Ge 0.1994 0.5024 0.4070
Ge 0.6994 0.4976 0.0930
Ge 0.0685 0.8347 0.7609
Ge 0.5685 0.1653 0.7391
S 0.9979 0.7118 0.1198
S 0.4979 0.2882 0.3802
S 0.4190 0.3548 0.8343
S 0.9190 0.6452 0.6657
S 0.9190 0.6452 0.3343
S 0.4190 0.3548 0.1657
S 0.4541 0.8398 0.7514
S 0.9541 0.1602 0.7486
S 0.9541 0.1602 0.2514
S 0.4541 0.8398 0.2486
S 0.4862 0.6484 0.0000
S 0.9862 0.3516 0.5000
S 0.9979 0.7118 0.8802
S 0.4979 0.2882 0.6198
Br 0.3904 0.7677 0.5000
Br 0.8904 0.2323 0.0000

---

Entry 22:
Ge3S2Br2 | PBE | optimized geometry

Output
Excess energy over the best structure of this formula in the dataset ... 40 kJ/mol of formula units
Crystal system ... monoclinic

Lattice parameters (Å, degrees): 7.6910 7.1737 7.6531 90.00 64.75 90.00
Positions (direct):
Ge 0.5000 0.5000 0.0000
Ge 0.0000 0.0000 0.0000
Ge 0.7711 0.0347 0.6710
Ge 0.7289 0.5347 0.3290
Ge 0.2711 0.4653 0.6710
Ge 0.2289 0.9653 0.3290
S 0.5929 0.3667 0.6342
S 0.9071 0.8667 0.3658
S 0.0929 0.1333 0.6342
S 0.4071 0.6333 0.3658
Br 0.8464 0.6985 0.8764
Br 0.3464 0.8015 0.8764
Br 0.6536 0.1985 0.1236
Br 0.1536 0.3015 0.1236

---

Entry 23:
Ge3SBr | PBE | optimized geometry

Output
Excess energy over the best structure of this formula in the dataset ... 0 kJ/mol of formula units
Crystal system ... cubic

Lattice parameters (Å, degrees): 5.1109 5.1109 5.1109 90.00 90.00 90.00
Each line ends with the local moment (μB).
Positions (direct):
Ge 0.0000 0.5000 0.0000  0.15
Ge 0.0000 0.0000 0.5000  0.10
Ge 0.5000 0.0000 0.0000  0.16
S 0.0000 0.0000 0.0000  -0.02
Br 0.5000 0.5000 0.5000  0.21

---

Entry 24:
Ge3S2Br2 | PBE | optimized geometry

Output
Excess energy over the best structure of this formula in the dataset ... 0 kJ/mol of formula units
Crystal system ... monoclinic

Lattice parameters (Å, degrees): 3.8699 6.6191 7.8676 104.28 104.24 90.00
Positions (direct):
Ge 0.0000 0.0000 0.0000
Ge 0.7464 0.7734 0.4928
Ge 0.2536 0.2266 0.5072
S 0.8428 0.1323 0.6855
S 0.1572 0.8677 0.3145
Br 0.5867 0.2916 0.1734
Br 0.4133 0.7084 0.8266

---

Entry 25:
Ge2S3Br2 | PBE | optimized geometry

Output
Energy ... -4.00 eV per atom
Crystal system ... triclinic

Lattice parameters (Å, degrees): 10.2717 10.3914 10.6627 93.09 116.04 88.87
Positions (direct):
Ge 0.7389 0.8168 0.7508
Ge 0.2611 0.1832 0.2492
Ge 0.7020 0.5083 0.8304
Ge 0.2980 0.4917 0.1696
Ge 0.4086 0.7112 0.7131
Ge 0.5914 0.2888 0.2869
Ge 0.6867 0.7672 0.0409
Ge 0.3133 0.2328 0.9591
S 0.8064 0.9001 0.9689
S 0.1936 0.0999 0.0311
S 0.8243 0.6183 0.7405
S 0.1757 0.3817 0.2595
S 0.5025 0.8387 0.6101
S 0.4975 0.1613 0.3899
S 0.7658 0.5629 0.0566
S 0.2342 0.4371 0.9434
S 0.4618 0.5022 0.6986
S 0.5382 0.4978 0.3014
S 0.4450 0.7841 0.9280
S 0.5550 0.2159 0.0720
Br 0.8548 0.9467 0.6606
Br 0.1452 0.0533 0.3394
Br 0.1605 0.7215 0.5799
Br 0.8395 0.2785 0.4201
Br 0.7454 0.8378 0.2689
Br 0.2546 0.1622 0.7311
Br 0.7770 0.2978 0.8276
Br 0.2230 0.7022 0.1724